No. 1
This record from Alexandria via LeMat-Bulk describes a geometry-optimized Rb2BaPa2O7 structure. The functional is PBE-GGA.

Values from the calculation:
**V**: 230.50 Å³ per cell
**D(E_F)**: 0.000 states/eV per atom
**Formation energy (no corrections)**: -3062 meV per atom
**SG**: I4/mmm, No. 139

abc: 4.448 4.448 12.066
angles: 79.38 79.38 90.00
Element x y z (fractional)
1 O 0.500 0.500 0.000
2 Ba 0.000 0.000 0.000
3 Pa 0.596 0.596 0.808
4 Pa 0.404 0.404 0.192
5 O 0.683 0.683 0.634
6 O 0.914 0.414 0.172
7 O 0.586 0.086 0.828
8 O 0.086 0.586 0.828
9 O 0.317 0.317 0.366
10 Rb 0.806 0.806 0.388
11 O 0.414 0.914 0.172
12 Rb 0.194 0.194 0.612

No. 2
This record from Alexandria via LeMat-Bulk describes a geometry-optimized BRh3Pb structure. The functional is PBE-GGA.

Values from the calculation:
**V**: 167.10 Å³ per cell
**D(E_F)**: 0.978 states/eV per atom
**SG**: P6_3/mmc, No. 194
**Energy of formation from the pure elements**: 0.136 eV/atom

abc: 3.529 3.529 15.490
angles: 90.00 90.00 120.00
Element x y z (fractional)
1 Rh 0.000 0.000 0.250
2 B 0.667 0.333 0.250
3 Rh 0.333 0.667 0.882
4 Rh 0.667 0.333 0.118
5 Pb 0.000 0.000 0.500
6 B 0.333 0.667 0.750
7 Pb 0.000 0.000 0.000
8 Rh 0.667 0.333 0.382
9 Rh 0.333 0.667 0.618
10 Rh 0.000 0.000 0.750

What is the V in the second record? 167.10 Å³ per cell

D(E_F) of number 2 (BRh3Pb)? 0.978 states/eV per atom